{"formula": "ScTlCd2", "functional": "PBE", "state": "optimized geometry", "e_above_lowest_polymorph_ev_per_atom": 0.086, "formation_enthalpy_0k_ev_per_atom": -0.095, "dos_at_fermi_per_ev_atom": 0.5907, "lattice_angstrom": [[3.226, 0.000, 0.000], [0.000, 4.645, 0.000], [-1.598, 0.000, 6.245]], "species": ["Sc", "Tl", "Cd", "Cd"], "frac_coords": [[0.000, 0.000, 0.000], [0.599, 0.500, 0.201], [0.356, 0.500, 0.712], [0.750, 0.000, 0.505]]}